[1]
Compound: TmTlAu
Source: Alexandria
Functional: PBE
Structure: optimized geometry

```
TmTlAu
1.0
4.8814 0.0000 0.0000
-2.4407 4.2274 0.0000
0.0000 0.0000 3.3733
Tm Tl Au
1 1 1
Direct
0.0000 0.0000 0.0000
0.3333 0.6667 0.5000
0.6667 0.3333 0.5000
```

Calculated values
The calculation puts the total moment at 0.00 μB/cell. Its formation enthalpy at 0 K is -0.459 eV/atom. The total energy is -11.5 eV per cell.

[2]
Compound: Nb3AuN
Source: Alexandria
Functional: PBE
Structure: optimized geometry

```
Nb3AuN
1.0
4.9466 0.0000 0.0000
0.0000 4.9466 0.0000
0.0000 0.0000 4.9466
Nb Au N
3 1 1
Direct
0.0000 0.0000 0.5000
0.0000 0.5000 0.0000
0.5000 0.0000 0.0000
0.0000 0.0000 0.0000
0.5000 0.5000 0.5000
```

Calculated values
The calculation puts the total moment at 0.00 μB/cell. For the uncorrected formation energy, the calculation gives 2.605 eV/atom. The total energy is -28.8 eV per cell.

[3]
Compound: Pm5NdI12
Source: Alexandria
Functional: PBE
Structure: optimized geometry

```
Pm5NdI12
1.0
3.6526 -6.3258 0.0000
3.6526 6.3258 0.0000
-0.0210 0.0000 16.4830
Pm Nd I
5 1 12
Direct
0.0000 0.0000 0.0000
0.1665 0.8335 0.5000
0.3339 0.6661 0.0000
0.6661 0.3339 0.0000
0.8335 0.1665 0.5000
0.5000 0.5000 0.5000
0.0006 0.6670 0.1228
0.1641 0.4996 0.3764
0.1651 0.1651 0.6237
0.3333 0.3333 0.1232
0.3330 0.9994 0.8772
0.4996 0.1641 0.3764
0.5004 0.8359 0.6236
0.6670 0.0006 0.1228
0.6667 0.6667 0.8768
0.8349 0.8349 0.3763
0.8359 0.5004 0.6236
0.9994 0.3330 0.8772
```

Calculated values
The calculation puts the total moment at 0.00 μB/cell. For the uncorrected formation energy, the calculation gives -1.286 eV/atom. The total energy is -70.3 eV per cell.

[4]
Compound: Na3Sr2Ti3Si4O18
Source: Alexandria
Functional: PBE
Structure: optimized geometry

```
Na3Sr2Ti3Si4O18
1.0
9.8284 -3.5819 0.0000
9.8284 3.5819 0.0000
-0.6438 0.0000 5.4076
Na Sr Ti Si O
3 2 3 4 18
Direct
0.0000 0.0000 0.0000
0.2586 0.7414 0.5000
0.7414 0.2586 0.5000
0.2855 0.2855 0.2618
0.7145 0.7145 0.7382
0.1507 0.1507 0.7070
0.5000 0.5000 0.0000
0.8493 0.8493 0.2930
0.1408 0.5731 0.7980
0.4269 0.8592 0.2020
0.5731 0.1408 0.7980
0.8592 0.4269 0.2020
0.0109 0.6340 0.0276
0.0137 0.6342 0.5352
0.0645 0.0645 0.6755
0.2320 0.6471 0.8287
0.3227 0.3227 0.7801
0.3529 0.7680 0.1713
0.3658 0.9863 0.4648
0.3660 0.9891 0.9724
0.4403 0.4403 0.2452
0.5597 0.5597 0.7548
0.6340 0.0109 0.0276
0.6342 0.0137 0.5352
0.6471 0.2320 0.8287
0.6773 0.6773 0.2199
0.7680 0.3529 0.1713
0.9355 0.9355 0.3245
0.9863 0.3658 0.4648
0.9891 0.3660 0.9724
```

Calculated values
The calculation puts the total moment at 1.01 μB/cell. For the uncorrected formation energy, the calculation gives -2.726 eV/atom. The total energy is -223.7 eV per cell.

[5]
Compound: SbAuBr
Source: Alexandria
Functional: PBE
Structure: optimized geometry

```
SbAuBr
1.0
-1.9541 2.0342 5.9857
1.9541 -2.0342 5.9857
1.9541 2.0342 -5.9857
Sb Au Br
1 1 1
Direct
0.0000 0.0000 0.0000
0.4832 0.4832 0.0000
0.2148 0.2148 0.0000
```

Calculated values
The calculation puts the total moment at 0.00 μB/cell. For the uncorrected formation energy, the calculation gives -0.151 eV/atom. The total energy is -9.5 eV per cell. Its polymorph energy (0 for the lowest one) is 8.9 meV per atom.

[6]
Compound: Ce7Ru2Pt2
Source: Alexandria
Functional: PBE
Structure: optimized geometry

```
Ce7Ru2Pt2
1.0
-1.9218 7.5015 4.7492
1.9218 -7.5015 4.7492
1.9218 7.5015 -4.7492
Ce Ru Pt
7 2 2
Direct
0.0000 0.0000 0.0000
0.0786 0.3866 0.6920
0.1228 0.7570 0.3659
0.3911 0.7570 0.6341
0.4869 0.6049 0.8820
0.6946 0.3866 0.3080
0.7229 0.6049 0.1180
0.3072 0.0685 0.2387
0.8297 0.0685 0.7613
0.3414 0.3414 0.0000
0.7642 0.2642 0.5000
```

Calculated values
The calculation puts the total moment at 3.96 μB/cell. Its formation enthalpy at 0 K is -0.502 eV/atom. The total energy is -77.7 eV per cell.

[7]
Compound: KVI4
Source: Alexandria
Functional: PBE
Structure: optimized geometry

```
KVI4
1.0
7.1479 -2.0983 0.0000
7.1479 2.0983 0.0000
-2.6002 0.0000 8.3275
K V I
1 1 4
Direct
0.0000 0.0000 0.0000
0.5000 0.5000 0.5000
0.1115 0.1115 0.4241
0.3738 0.3738 0.1929
0.6262 0.6262 0.8071
0.8885 0.8885 0.5759
```

Calculated values
The calculation puts the total moment at 2.00 μB/cell. For the uncorrected formation energy, the calculation gives -0.743 eV/atom. The total energy is -20.9 eV per cell.

[8]
Compound: Pr2Sm7Er2
Source: Alexandria
Functional: PBE
Structure: optimized geometry

```
Pr2Sm7Er2
1.0
4.8504 -4.6865 0.0000
4.8504 4.6865 0.0000
-1.9183 0.0000 8.3345
Pr Sm Er
2 7 2
Direct
0.1038 0.1038 0.3526
0.8962 0.8962 0.6474
0.0005 0.5970 0.3106
0.1938 0.1938 0.0183
0.4030 0.9995 0.6894
0.5000 0.5000 0.5000
0.5970 0.0005 0.3106
0.8062 0.8062 0.9817
0.9995 0.4030 0.6894
0.3133 0.6867 0.0000
0.6867 0.3133 0.0000
```

Calculated values
The calculation puts the total moment at 0.00 μB/cell. Its formation enthalpy at 0 K is 0.175 eV/atom. The total energy is -49.8 eV per cell. Its polymorph energy (0 for the lowest one) is 50.1 meV per atom.

[9]
Compound: Be4Co
Source: Alexandria
Functional: PBE
Structure: optimized geometry

```
Be4Co
1.0
3.8765 0.0000 0.0000
0.0000 3.8765 0.0000
0.0000 0.0000 3.8765
Be Co
4 1
Direct
0.0000 0.0000 0.0000
0.0000 0.5000 0.5000
0.5000 0.0000 0.5000
0.5000 0.5000 0.0000
0.5000 0.5000 0.5000
```

Calculated values
The calculation puts the total moment at 0.00 μB/cell. Its formation enthalpy at 0 K is 0.770 eV/atom. The total energy is -18.2 eV per cell. Its polymorph energy (0 for the lowest one) is 972.1 meV per atom.

[10]
Compound: K6GePt
Source: Alexandria
Functional: PBE
Structure: optimized geometry

```
K6GePt
1.0
4.3657 0.0000 0.0000
0.0000 6.8851 7.1469
0.0000 -6.8851 7.1469
K Ge Pt
6 1 1
Direct
0.0000 0.0000 0.0000
0.0000 0.5530 0.8334
0.0000 0.8334 0.5530
0.5000 0.2419 0.6709
0.5000 0.2839 0.2839
0.5000 0.6709 0.2419
0.0000 0.4819 0.4819
0.5000 0.5541 0.5541
```

Calculated values
The calculation puts the total moment at 0.00 μB/cell. Its formation enthalpy at 0 K is -0.124 eV/atom. The total energy is -18.2 eV per cell.

[11]
Compound: Cu2SeBr
Source: Alexandria
Functional: PBE
Structure: optimized geometry

```
Cu2SeBr
1.0
4.8361 0.0000 0.0000
0.0000 4.8361 0.0000
0.0000 0.0000 3.0677
Cu Se Br
2 1 1
Direct
0.0000 0.5000 0.0000
0.5000 0.0000 0.0000
0.0000 0.0000 0.5000
0.5000 0.5000 0.5000
```

Calculated values
The calculation puts the total moment at 0.00 μB/cell. For the uncorrected formation energy, the calculation gives 0.354 eV/atom. The total energy is -11.9 eV per cell. Its polymorph energy (0 for the lowest one) is 550.5 meV per atom.

[12]
Compound: Pm12ThGe7
Source: Alexandria
Functional: PBE
Structure: optimized geometry

```
Pm12ThGe7
1.0
7.5294 4.3471 2.9056
-7.5294 4.3471 2.9056
0.0000 -8.6942 2.9056
Pm Th Ge
12 1 7
Direct
0.0000 0.2678 0.7322
0.0000 0.7322 0.2678
0.1650 0.4725 0.4725
0.2678 0.0000 0.7322
0.2678 0.7322 0.0000
0.4725 0.1650 0.4725
0.4725 0.4725 0.1650
0.5275 0.5275 0.8350
0.5275 0.8350 0.5275
0.7322 0.0000 0.2678
0.7322 0.2678 0.0000
0.8350 0.5275 0.5275
0.0000 0.0000 0.0000
0.1316 0.1316 0.4533
0.1316 0.4533 0.1316
0.4533 0.1316 0.1316
0.5000 0.5000 0.5000
0.5467 0.8684 0.8684
0.8684 0.5467 0.8684
0.8684 0.8684 0.5467
```

Calculated values
The calculation puts the total moment at 0.00 μB/cell. Its formation enthalpy at 0 K is -0.477 eV/atom. The total energy is -106.3 eV per cell.